#i
Here is a relaxed CaAlCo3 crystal from Alexandria via LeMat-Bulk. Energies are from PBE-GGA.

a b c (Å): 4.423 4.423 4.423
angles (deg): 90.00 90.00 90.00
Space group Pm-3m (No. 221)
Asymmetric unit:
Ca (0.000, 0.000, 0.000)
Al (0.500, 0.500, 0.500)
Co (0.000, 0.500, 0.500)

Results
Mass density = 4.681 g/cm³
DOS at the Fermi energy = 9.3 states/eV/f.u.


#ii
Here is a relaxed CaAlCo3 crystal from Alexandria via LeMat-Bulk. Energies are from PBE-GGA.

a b c (Å): 4.430 4.430 4.430
angles (deg): 90.00 90.00 90.00
Space group Pm-3m (No. 221)
Asymmetric unit:
Ca (0.000, 0.000, 0.000)
Al (0.500, 0.500, 0.500)
Co (0.000, 0.000, 0.500)

Results
Mass density = 4.656 g/cm³
DOS at the Fermi energy = 6.9 states/eV/f.u.


Quick one: least stable of them? #ii


#i
Here is a relaxed CaAl8Co2 crystal from Alexandria via LeMat-Bulk. Energies are from PBE-GGA.

a b c (Å): 12.454 14.425 3.972
angles (deg): 90.00 90.00 90.00
Space group Pbam (No. 55)
Asymmetric unit:
Ca (0.159, 0.181, 0.000)
Al (0.000, 0.000, 0.000)
Al (0.000, 0.500, 0.500)
Al (0.025, 0.867, 0.500)
Al (0.048, 0.320, 0.500)
Al (0.095, 0.746, 0.000)
Al (0.161, 0.620, 0.500)
Al (0.162, 0.455, 0.000)
Al (0.168, 0.008, 0.500)
Al (0.236, 0.827, 0.500)
Co (0.034, 0.593, 0.000)
Co (0.150, 0.902, 0.000)

Results
Mass density = 3.480 g/cm³
DOS at the Fermi energy = 3.9 states/eV/f.u.


#ii
Here is a relaxed CaAl8Co2 crystal from Alexandria via LeMat-Bulk. Energies are from PBE-GGA.

a b c (Å): 5.619 5.619 8.094
angles (deg): 90.00 90.00 90.00
Space group P4/mmm (No. 123)
Asymmetric unit:
Ca (0.000, 0.000, 0.000)
Al (0.251, 0.251, 0.334)
Co (0.000, 0.500, 0.500)

Results
Mass density = 2.429 g/cm³
DOS at the Fermi energy = 4.2 states/eV/f.u.


Quick one: least stable of them? #ii


#i
Here is a relaxed CaAlCo2Hg crystal from Alexandria via LeMat-Bulk. Energies are from PBE-GGA.

a b c (Å): 4.874 4.874 5.428
angles (deg): 90.00 90.00 90.00
Space group P4/mmm (No. 123)
Asymmetric unit:
Ca (0.000, 0.000, 0.000)
Al (0.500, 0.500, 0.000)
Co (0.000, 0.500, 0.500)
Hg (0.000, 0.000, 0.500)

Results
Mass density = 4.965 g/cm³
DOS at the Fermi energy = 6.0 states/eV/f.u.


#ii
Here is a relaxed CaAlCo2Hg crystal from Alexandria via LeMat-Bulk. Energies are from PBE-GGA.

a b c (Å): 4.490 4.490 5.455
angles (deg): 90.00 90.00 90.00
Space group P4/mmm (No. 123)
Asymmetric unit:
Ca (0.000, 0.000, 0.000)
Al (0.000, 0.000, 0.500)
Co (0.000, 0.500, 0.500)
Hg (0.500, 0.500, 0.000)

Results
Mass density = 5.820 g/cm³
DOS at the Fermi energy = 4.3 states/eV/f.u.


Quick one: least stable of them? #i